Material: OsPtBr2
Method: DFT, PBE
State: relaxed

```
OsPtBr2
1.0
6.6274 0.1115 -0.0900
5.6390 3.4838 -0.0900
0.8827 0.2587 4.4632
Os Br Pt
1 2 1
Direct
0.7500 0.7500 0.7500 Os
0.3857 0.3857 0.5631 Br
0.1143 0.1143 0.9369 Br
0.2500 0.2500 0.2500 Pt
```

## Properties
Formation energy (no corrections), eV per atom: 0.645
Space-group type: C2/m, No. 12
Relative energy among the computed polymorphs, meV/atom: 285.0
Uncorrected energy, eV/atom: -4.509